1.
The following is a DFT calculation (meta-GGA SCAN) of a crystal of Mg2AgAu2 relaxed with PBEsol.

It has space group P4/mbm (No. 127), with a = 7.4615 Å, b = 7.4615 Å, c = 3.2457 Å, α = 90.00°, β = 90.00° and γ = 90.00°. The distinct sites, in fractional coordinates, are Mg at (0.1638, 0.3362, 0.0000), Ag at (0.0000, 0.0000, 0.5000) and Au at (0.1353, 0.6353, 0.5000).

As for the formation enthalpy at 0 K: -543 meV/atom.

=====

2.
The following is a DFT calculation (meta-GGA SCAN) of a crystal of NdSbAu relaxed with PBEsol.

It has space group P6_3/mmc (No. 194), with a = 4.5799 Å, b = 4.5799 Å, c = 8.1574 Å, α = 90.00°, β = 90.00° and γ = 120.00°. The distinct sites, in fractional coordinates, are Nd at (0.0000, 0.0000, 0.0000), Sb at (0.3333, 0.6667, 0.2500) and Au at (0.3333, 0.6667, 0.7500).

=====

Sequential VASP energy output: -36.469, -51.033 eV/atom